[1]
## SrAgAu2 (PBE)

Data for a relaxed structure of SrAgAu2.

Geometry as CIF:
```
data_SrAgAu2
_chemical_formula_sum 'Sr3 Ag3 Au6'
_space_group_name_H-M_alt 'R 3 m'
_space_group_IT_number 160
_space_group_name_Hall 'R 3 -2"'
_cell_length_a 4.7671
_cell_length_b 4.7671
_cell_length_c 15.1359
_cell_angle_alpha 90.00
_cell_angle_beta 90.00
_cell_angle_gamma 120.00
loop_
_atom_site_label
_atom_site_type_symbol
_atom_site_fract_x
_atom_site_fract_y
_atom_site_fract_z
Sr1 Sr 0.0000 0.0000 0.0000
Ag1 Ag 0.0000 0.0000 0.7926
Au1 Au 0.0000 0.0000 0.2104
Au2 Au 0.0000 0.0000 0.4959
```

Properties
total DFT energy (no corrections)	-38.39	eV per cell
magnetization	0.0	μB/f.u.

=====

[2]
## HfSc3Hg6 (PBE)

Data for a relaxed structure of HfSc3Hg6.

Geometry as CIF:
```
data_HfSc3Hg6
_chemical_formula_sum 'Hf2 Sc6 Hg12'
_space_group_name_H-M_alt 'P 1 21/m 1'
_space_group_IT_number 11
_space_group_name_Hall '-P 2yb'
_cell_length_a 8.622
_cell_length_b 4.981
_cell_length_c 10.697
_cell_angle_alpha 90.00
_cell_angle_beta 108.37
_cell_angle_gamma 90.00
loop_
_atom_site_label
_atom_site_type_symbol
_atom_site_fract_x
_atom_site_fract_y
_atom_site_fract_z
Hf1 Hf 0.055 0.250 0.408
Sc1 Sc 0.232 0.250 0.013
Sc2 Sc 0.353 0.750 0.789
Sc3 Sc 0.464 0.250 0.613
Hg1 Hg 0.067 0.750 0.881
Hg2 Hg 0.152 0.250 0.701
Hg3 Hg 0.153 0.750 0.178
Hg4 Hg 0.250 0.750 0.494
Hg5 Hg 0.350 0.250 0.311
Hg6 Hg 0.475 0.750 0.087
```

Properties
total DFT energy (no corrections)	-66.29	eV per cell
magnetization	0.0	μB/f.u.

=====

[3]
## AcInNiIr2 (PBE)

Data for a relaxed structure of AcInNiIr2.

Geometry as CIF:
```
data_AcInNiIr2
_chemical_formula_sum 'Ac2 In2 Ni2 Ir4'
_space_group_name_H-M_alt 'I m m 2'
_space_group_IT_number 44
_space_group_name_Hall 'I 2 -2'
_cell_length_a 4.181
_cell_length_b 4.248
_cell_length_c 11.490
_cell_angle_alpha 90.00
_cell_angle_beta 90.00
_cell_angle_gamma 90.00
loop_
_atom_site_label
_atom_site_type_symbol
_atom_site_fract_x
_atom_site_fract_y
_atom_site_fract_z
Ac1 Ac 0.000 0.000 0.000
In1 In 0.000 0.500 0.746
Ni1 Ni 0.000 0.000 0.615
Ir1 Ir 0.000 0.000 0.400
Ir2 Ir 0.000 0.500 0.261
```

Properties
total DFT energy (no corrections)	-63.04	eV per cell
magnetization	0.3	μB/f.u.

=====

[4]
## TlCd2 (PBE)

Data for a relaxed structure of TlCd2.

Geometry as CIF:
```
data_TlCd2
_chemical_formula_sum 'Tl2 Cd4'
_space_group_name_H-M_alt 'P 63/m m c'
_space_group_IT_number 194
_space_group_name_Hall '-P 6c 2c'
_cell_length_a 5.3017
_cell_length_b 5.3017
_cell_length_c 6.5450
_cell_angle_alpha 90.00
_cell_angle_beta 90.00
_cell_angle_gamma 120.00
loop_
_atom_site_label
_atom_site_type_symbol
_atom_site_fract_x
_atom_site_fract_y
_atom_site_fract_z
Tl1 Tl 0.3333 0.6667 0.2500
Cd1 Cd 0.0000 0.0000 0.0000
Cd2 Cd 0.3333 0.6667 0.7500
```

Properties
total DFT energy (no corrections)	-7.91	eV per cell
magnetization	0.0	μB/f.u.

=====

[5]
## NpCdS2 (PBE)

Data for a relaxed structure of NpCdS2.

Geometry as CIF:
```
data_NpCdS2
_chemical_formula_sum 'Np3 Cd3 S6'
_space_group_name_H-M_alt 'R -3 m'
_space_group_IT_number 166
_space_group_name_Hall '-R 3 2"'
_cell_length_a 3.9273
_cell_length_b 3.9273
_cell_length_c 26.4369
_cell_angle_alpha 90.00
_cell_angle_beta 90.00
_cell_angle_gamma 120.00
loop_
_atom_site_label
_atom_site_type_symbol
_atom_site_fract_x
_atom_site_fract_y
_atom_site_fract_z
Np1 Np 0.0000 0.0000 0.0000
Cd1 Cd 0.0000 0.0000 0.5000
S1 S 0.0000 0.0000 0.3882
```

Properties
total DFT energy (no corrections)	-76.21	eV per cell
formation energy from raw total energies	-79.4	kJ/mol of atoms
magnetization	3.4	μB/f.u.

=====

[6]
## NdNi6 (PBE)

Data for a relaxed structure of NdNi6.

Geometry as CIF:
```
data_NdNi6
_chemical_formula_sum 'Nd4 Ni24'
_space_group_name_H-M_alt 'P n m a'
_space_group_IT_number 62
_space_group_name_Hall '-P 2ac 2n'
_cell_length_a 7.835
_cell_length_b 4.912
_cell_length_c 9.884
_cell_angle_alpha 90.00
_cell_angle_beta 90.00
_cell_angle_gamma 90.00
loop_
_atom_site_label
_atom_site_type_symbol
_atom_site_fract_x
_atom_site_fract_y
_atom_site_fract_z
Nd1 Nd 0.239 0.250 0.060
Ni1 Ni 0.065 0.750 0.096
Ni2 Ni 0.068 0.005 0.309
Ni3 Ni 0.104 0.250 0.518
Ni4 Ni 0.150 0.750 0.852
Ni5 Ni 0.180 0.250 0.758
```

Properties
total DFT energy (no corrections)	-161.85	eV per cell
E above lowest polymorph	0	meV/atom
magnetization	1.7	μB/f.u.